Crystalline Rb4Ce3PmSe8 at its relaxed geometry, computed with PBE-GGA.

```
16
Lattice="-8.577 0.694 1.827 -0.126 -9.031 2.841 5.768 5.417 3.844" Properties=species:S:1:pos:R:3 pbc="T T T"
Ce 2.821 -1.807 3.343
Ce -1.467 -1.460 4.256
Ce -4.351 -4.169 2.334
Se -0.812 -0.567 7.049
Se 0.600 -3.639 4.199
Se 3.499 -0.916 6.131
Se -3.534 0.719 4.313
Se -6.434 -2.004 2.381
Se -3.686 -3.283 5.122
Se -2.122 -2.353 1.463
Se 0.751 0.363 3.390
Rb 0.000 0.000 0.000
Rb 2.884 2.708 1.922
Rb -4.288 0.347 0.913
Rb -1.404 3.055 2.835
Pm -0.063 -4.516 1.421
```

## Properties
- total energy (eV for the cell shown) = -81.29
- Fermi-level density of states (states/eV per atom) = 1.1386
- energy relative to the elements, uncorrected (eV/atom) = -1.687